DFT (PBE) results for an optimized crystal structure of ScTaC3.

Cell and atoms, written as POSCAR:
```
ScTaC3
1.0
3.979 0.000 0.000
0.000 3.979 0.000
0.000 0.000 3.979
Ta C Sc
1 3 1
direct
0.500 0.500 0.500
0.500 0.000 0.000
0.000 0.000 0.500
0.000 0.500 0.000
0.000 0.000 0.000
```

Summary:
DOS(E_F): 4.85 states/eV/cell
ΔE_f: 10.77 eV per formula unit
polymorph energy (0 for the lowest one): 1100 meV/atom
magnetization: 0.0 Bohr magnetons per cell
total energy: -7.018 eV/atom